Entry 1:
A plane-wave DFT calculation with PBE-GGA was carried out for crystalline RbLaNbPdBr at its relaxed geometry.

Unit cell a=4.3488 b=4.3507 c=9.8942 alpha=89.98 beta=89.98 gamma=60.03
Positions (direct):
Rb: 0.4363 0.9716 0.9693
Pd: 0.7695 0.3051 0.6752
Br: 0.7694 0.3062 0.2367
La: 0.4361 0.9724 0.4483
Nb: 0.1028 0.6387 0.6745

Computed properties:
The value obtained for the density is 5.157 g/cm3. Its volume is 162 Å³ per cell. The total DFT energy (no corrections) is -5.00 eV per atom. For the magnetic moment, the calculation gives 0.0 μB/cell. The formation energy (no corrections) comes out at -208 kJ/mol of formula units.

---

Entry 2:
A plane-wave DFT calculation with PBE-GGA was carried out for crystalline Rb2LaNbBr6 at its relaxed geometry.

Unit cell a=7.9504 b=7.9504 c=7.9512 alpha=60.00 beta=60.00 gamma=90.00
Positions (direct):
Rb: 0.7500 0.2500 0.5000
Br: 0.7396 0.2604 0.0000
Rb: 0.2500 0.7500 0.5000
Br: 0.2604 0.2604 0.4792
Br: 0.7396 0.7396 0.5208
Nb: 0.5000 0.5000 0.0000
Br: 0.2604 0.2604 0.0000
La: 0.0000 0.0000 0.0000
Br: 0.2604 0.7396 0.0000
Br: 0.7396 0.7396 0.0000

Computed properties:
The value obtained for the density is 4.122 g/cm3. Its volume is 355 Å³ per cell. The total DFT energy (no corrections) is -4.00 eV per atom. For the magnetic moment, the calculation gives 2.0 μB/cell. The formation energy (no corrections) comes out at -1253 kJ/mol of formula units.

---

Entry 3:
A plane-wave DFT calculation with PBE-GGA was carried out for crystalline LaNbReBr2 at its relaxed geometry.

Unit cell a=5.1730 b=5.2764 c=5.1730 alpha=90.00 beta=90.00 gamma=90.00
Positions (direct):
Br: 0.5000 0.0000 0.0000
La: 0.0000 0.5000 0.0000
Nb: 0.5000 0.5000 0.5000
Br: 0.0000 0.0000 0.5000
Re: 0.0000 0.0000 0.0000

Computed properties:
The value obtained for the density is 6.795 g/cm3. Its volume is 141 Å³ per cell. The total DFT energy (no corrections) is -5.00 eV per atom. For the magnetic moment, the calculation gives 5.2 μB/cell. The formation energy (no corrections) comes out at 559 kJ/mol of formula units.

---

Entry 4:
A plane-wave DFT calculation with PBE-GGA was carried out for crystalline LaNb2SeBr at its relaxed geometry.

Unit cell a=5.1486 b=5.4637 c=5.1486 alpha=90.00 beta=90.00 gamma=90.00
Positions (direct):
Br: 0.0000 0.5000 0.0000
Nb: 0.0000 0.0000 0.5000
Nb: 0.5000 0.0000 0.0000
La: 0.0000 0.0000 0.0000
Se: 0.5000 0.5000 0.5000

Computed properties:
The value obtained for the density is 5.544 g/cm3. Its volume is 145 Å³ per cell. The total DFT energy (no corrections) is -4.61 eV per atom. For the magnetic moment, the calculation gives 0.0 μB/cell. The formation energy (no corrections) comes out at 694 kJ/mol of formula units.

---

Entry 5:
A plane-wave DFT calculation with PBE-GGA was carried out for crystalline LaZr2NbBr at its relaxed geometry.

Unit cell a=4.9858 b=5.4968 c=4.9858 alpha=90.00 beta=90.00 gamma=90.00
Positions (direct):
Br: 0.0000 0.0000 0.0000
Zr: 0.5000 0.0000 0.0000
La: 0.0000 0.5000 0.0000
Nb: 0.5000 0.5000 0.5000
Zr: 0.0000 0.0000 0.5000

Computed properties:
The value obtained for the density is 6.005 g/cm3. Its volume is 137 Å³ per cell. The total DFT energy (no corrections) is -6.19 eV per atom. For the magnetic moment, the calculation gives 1.2 μB/cell. The formation energy (no corrections) comes out at 272 kJ/mol of formula units.

---

Entry 6:
A plane-wave DFT calculation with PBE-GGA was carried out for crystalline LaNdBr3 at its relaxed geometry.

Unit cell a=7.0295 b=7.6621 c=7.0333 alpha=79.20 beta=65.89 gamma=62.70
Positions (direct):
Br: 0.2539 0.0000 0.7426
Br: 0.3949 0.7113 0.2537
La: 0.8228 0.3545 0.0000
Br: 0.8938 0.7113 0.7463
Nd: 0.3193 0.3613 0.5000
Br: 0.7461 0.0000 0.2574
Br: 0.1062 0.2887 0.2537
Br: 0.6051 0.2887 0.7463
La: 0.1772 0.6455 0.0000
Nd: 0.6807 0.6387 0.5000

Computed properties:
The value obtained for the density is 5.651 g/cm3. Its volume is 307 Å³ per cell. The total DFT energy (no corrections) is -4.46 eV per atom. For the magnetic moment, the calculation gives 0.0 μB/cell. The formation energy (no corrections) comes out at -732 kJ/mol of formula units.